Density functional theory data (GGA+U) for an optimized crystal structure of AcMoO3.

extended XYZ file:
```
20
Lattice="5.6827 0.0802 1.6703 2.6058 5.0507 1.6703 0.0302 0.0187 10.3025" Properties=species:S:1:pos:R:3 pbc="T T T"
Ac 6.0359 2.0203 11.0512
Ac 3.8340 0.6572 7.7431
Ac 2.2827 3.1293 2.5918
Ac 4.4847 4.4924 5.9000
Mo 1.3180 2.5347 5.9864
Mo 2.8413 0.0401 0.8351
Mo 4.9214 1.3268 4.2459
Mo 3.3972 3.8228 9.3972
O 7.0227 4.3490 11.5170
O 1.3096 0.8124 7.2773
O 1.2960 0.8006 2.1261
O 7.0090 4.3372 6.3657
O 5.4547 3.3785 8.9456
O 2.8775 1.7831 9.8487
O 2.8640 1.7711 4.6975
O 5.4412 3.3665 3.7943
O 4.0225 4.2070 11.4533
O 2.7745 3.4345 7.3410
O 5.5442 1.7151 6.3020
O 4.2962 0.9425 2.1898
```

Calculated values
calculated total energy = -7.771 eV per atom
magnetic moment = 0.60 μB/atom
DOS at the Fermi energy = 0.00 states/eV/cell